# PBE PrAuNO, relaxed
data_PrAuNO
_chemical_formula_sum 'Pr2 Au2 N2 O2'
_cell_length_a 4.3842
_cell_length_b 5.0343
_cell_length_c 7.7185
_cell_angle_alpha 90.00
_cell_angle_beta 90.00
_cell_angle_gamma 90.00
_space_group_name_H-M_alt 'P 1'
_space_group_IT_number 1
_space_group_name_Hall 'P 1'
loop_
_atom_site_label
_atom_site_type_symbol
_atom_site_fract_x
_atom_site_fract_y
_atom_site_fract_z
N1 N 0.0000 0.3596 0.7014
N2 N 0.0000 0.8596 0.2986
O1 O 0.5000 0.3938 0.1175
O2 O 0.5000 0.8937 0.8825
Au1 Au 0.0000 0.5778 0.4792
Au2 Au 0.0000 0.0778 0.5208
Pr1 Pr 0.5000 0.9228 0.1650
Pr2 Pr 0.5000 0.4228 0.8350
# Polymorph energy (0 for the lowest one) ... 0 meV per atom
# Size of the total moment ... 0.69 μB per cell

---

# PBE PrAuNO, relaxed
data_PrAuNO
_chemical_formula_sum 'Pr2 Au2 N2 O2'
_cell_length_a 4.0401
_cell_length_b 4.0401
_cell_length_c 7.8018
_cell_angle_alpha 90.00
_cell_angle_beta 90.00
_cell_angle_gamma 90.00
_space_group_name_H-M_alt 'P 1'
_space_group_IT_number 1
_space_group_name_Hall 'P 1'
loop_
_atom_site_label
_atom_site_type_symbol
_atom_site_fract_x
_atom_site_fract_y
_atom_site_fract_z
Au1 Au 0.2500 0.7500 0.5000
Au2 Au 0.7500 0.2500 0.5000
O1 O 0.2500 0.7500 0.0000
O2 O 0.7500 0.2500 0.0000
Pr1 Pr 0.7500 0.7500 0.8466
Pr2 Pr 0.2500 0.2500 0.1534
N1 N 0.2500 0.2500 0.6649
N2 N 0.7500 0.7500 0.3351
# Polymorph energy (0 for the lowest one) ... 103 meV per atom
# Size of the total moment ... 1.92 μB per cell

---

# PBE PrAuNO, relaxed
data_PrAuNO
_chemical_formula_sum 'Pr2 Au2 N2 O2'
_cell_length_a 5.1598
_cell_length_b 5.1598
_cell_length_c 4.6367
_cell_angle_alpha 90.00
_cell_angle_beta 90.00
_cell_angle_gamma 90.00
_space_group_name_H-M_alt 'P 1'
_space_group_IT_number 1
_space_group_name_Hall 'P 1'
loop_
_atom_site_label
_atom_site_type_symbol
_atom_site_fract_x
_atom_site_fract_y
_atom_site_fract_z
Pr1 Pr 0.2500 0.7500 0.5000
Pr2 Pr 0.7500 0.2500 0.5000
N1 N 0.2500 0.2500 0.5007
N2 N 0.7500 0.7500 0.4993
O1 O 0.7500 0.2500 0.0000
O2 O 0.2500 0.7500 0.0000
Au1 Au 0.2500 0.2500 0.0004
Au2 Au 0.7500 0.7500 0.9996
# Polymorph energy (0 for the lowest one) ... 204 meV per atom
# Size of the total moment ... 0.00 μB per cell

---

# PBE PrAuNO, relaxed
data_PrAuNO
_chemical_formula_sum 'Pr2 Au2 N2 O2'
_cell_length_a 3.9537
_cell_length_b 5.5224
_cell_length_c 6.1594
_cell_angle_alpha 90.00
_cell_angle_beta 90.00
_cell_angle_gamma 90.00
_space_group_name_H-M_alt 'P 1'
_space_group_IT_number 1
_space_group_name_Hall 'P 1'
loop_
_atom_site_label
_atom_site_type_symbol
_atom_site_fract_x
_atom_site_fract_y
_atom_site_fract_z
Au1 Au 0.5000 0.4628 0.7285
Au2 Au 0.5000 0.9628 0.2715
O1 O 0.5000 0.3693 0.1126
O2 O 0.5000 0.8693 0.8874
N1 N 0.0000 0.4397 0.6577
N2 N 0.0000 0.9397 0.3423
Pr1 Pr 0.0000 0.9822 0.7313
Pr2 Pr 0.0000 0.4822 0.2687
# Polymorph energy (0 for the lowest one) ... 111 meV per atom
# Size of the total moment ... 0.19 μB per cell

---

We obtain DFT total energy values of -6.28; -6.17; -6.07; -6.16 eV/atom for the records listed above, in that order.